[1]
DFT (PBE-GGA) results for CaCu8Sn3 after structural relaxation.

The structure in POSCAR format:
```
CaCu8Sn3
1.0
5.200 0.000 0.000
-2.600 4.503 0.000
0.000 0.000 8.272
Sn Cu Ca
3 8 1
Direct
0.667 0.333 0.053
0.667 0.333 0.438
0.000 0.000 0.947
0.999 0.500 0.754
0.333 0.667 0.000
0.668 0.834 0.245
0.166 0.332 0.245
0.500 0.500 0.754
0.333 0.667 0.497
0.166 0.834 0.245
0.500 0.001 0.754
0.000 0.000 0.568
```

Calculated values
energy of formation from the pure elements = -0.057 eV per atom
E_tot = -3.96 eV per atom

[2]
DFT (PBE-GGA) results for Ca2Cu3Sn4 after structural relaxation.

The structure in POSCAR format:
```
Ca2Cu3Sn4
1.0
-5.832 0.830 -0.561
2.606 -0.456 5.293
2.561 6.550 -2.252
Sn Ca Cu
4 2 3
Direct
0.319 0.989 0.307
0.681 0.011 0.693
0.011 0.681 0.693
0.989 0.319 0.307
0.367 0.367 0.733
0.633 0.633 0.267
0.000 0.500 0.000
0.500 0.000 0.000
0.000 0.000 0.000
```

Calculated values
energy of formation from the pure elements = -0.236 eV per atom
E_tot = -3.83 eV per atom